1.
SrZnTc2 PBE relaxed; theoretical density = 8.0 g cm⁻³; electronic total energy = -5.130 eV per atom; ΔH_f (0 K) = 18.26 kcal/mol of atoms
1.0
2.831 -4.948 0.000
2.831 4.948 0.000
-0.944 0.000 2.575
Sr Zn Tc
1 1 2
Cartesian
0.000 0.000 0.000
2.831 0.000 0.000
0.944 2.474 1.288
0.944 -2.474 1.288

=====

2.
Sr2ZnTc PBE relaxed; theoretical density = 5.0 g cm⁻³; electronic total energy = -2.992 eV per atom; ΔH_f (0 K) = 17.49 kcal/mol of atoms
1.0
1.813 1.047 9.891
-1.813 1.047 9.891
0.000 -2.093 9.891
Sr Zn Tc
2 1 1
Cartesian
0.000 0.000 7.221
0.000 0.000 22.453
0.000 0.000 0.000
0.000 0.000 14.837